Entry 1:
A PBEsol-optimized structure of Li3V3O5F3. Source: Alexandria, functional SCAN.

Calculated values
E_form (uncorrected)	-2.760	eV per atom
offset from the most stable computed form	41	meV/atom
total magnetic moment	0.357	μB/atom
calculated volume	141	Å³/f.u.
DOS at the Fermi energy	4.1	states/eV/cell
space group	P1

a b c (Å): 5.6678 5.8535 5.9454
angles (deg): 121.20 89.31 118.32
Each line ends with the local moment (μB).
Element x y z (fractional)
Li 0.3735 0.7471 0.6272  0.00
Li 0.0089 0.0443 0.0265  0.00
Li 0.7461 0.4747 0.2301  0.00
F 0.6267 0.7676 0.3810  0.02
F 0.1230 0.7404 0.8756  0.02
F 0.6040 0.7325 0.8713  0.01
O 0.6113 0.2143 0.3682  0.00
O 0.1496 0.2886 0.8668  0.00
O 0.6253 0.2483 0.8365  -0.04
O 0.1389 0.2677 0.4275  -0.06
O 0.1471 0.7679 0.3827  -0.01
V 0.3619 0.7499 0.1358  1.94
V 0.3614 0.2048 0.5977  1.26
V 0.8725 0.2521 0.6233  1.60

=====

Entry 2:
A PBEsol-optimized structure of Ti2Sn2Ge. Source: Alexandria, functional SCAN.

Calculated values
total magnetic moment	0.240	μB/atom
calculated total energy	-122.6	eV/cell
calculated volume	102	Å³/f.u.
DOS at the Fermi energy	2.0	states/eV/cell
space group	I4/mmm

a b c (Å): 3.8754 3.8754 7.3343
angles (deg): 105.32 105.32 90.00
Each line ends with the local moment (μB).
Element x y z (fractional)
Ti 0.5904 0.5904 0.1808  0.60
Ti 0.4096 0.4096 0.8192  0.60
Sn 0.2500 0.7500 0.5000  -0.01
Sn 0.7500 0.2500 0.5000  -0.01
Ge 0.0000 0.0000 0.0000  -0.06

=====

Entry 3:
A PBEsol-optimized structure of Zn2NiCl. Source: Alexandria, functional SCAN.

Calculated values
E_form (uncorrected)	0.109	eV per atom
offset from the most stable computed form	3	meV/atom
total magnetic moment	0.158	μB/atom
calculated volume	57	Å³/f.u.
DOS at the Fermi energy	1.4	states/eV/cell
space group	Cmmm

a b c (Å): 2.9414 4.5373 4.5373
angles (deg): 110.79 90.00 90.00
Each line ends with the local moment (μB).
Element x y z (fractional)
Cl 0.5000 0.0000 0.0000  0.05
Ni 0.5000 0.5000 0.5000  0.56
Zn 0.0000 0.5000 0.0000  0.01
Zn 0.0000 0.0000 0.5000  0.01

=====

Entry 4:
A PBEsol-optimized structure of AlRe2Cl. Source: Alexandria, functional SCAN.

Calculated values
E_form (uncorrected)	0.923	eV per atom
offset from the most stable computed form	274	meV/atom
total magnetic moment	0.373	μB/atom
calculated volume	60	Å³/f.u.
DOS at the Fermi energy	2.4	states/eV/cell
space group	F-43m

a b c (Å): 4.3997 4.3997 4.3997
angles (deg): 60.00 60.00 60.00
Each line ends with the local moment (μB).
Element x y z (fractional)
Cl 0.2500 0.2500 0.2500  0.17
Al 0.5000 0.5000 0.5000  0.02
Re 0.0000 0.0000 0.0000  0.03
Re 0.7500 0.7500 0.7500  0.96

=====

Entry 5:
A PBEsol-optimized structure of Mg2HgIr. Source: Alexandria, functional SCAN.

Calculated values
offset from the most stable computed form	0	meV/atom
total magnetic moment	0.000	μB/atom
calculated volume	69	Å³/f.u.
DOS at the Fermi energy	1.2	states/eV/cell
space group	P4/mmm

a b c (Å): 3.1656 3.1656 6.9017
angles (deg): 90.00 90.00 90.00
Element x y z (fractional)
Mg 0.0000 0.0000 0.7127
Mg 0.0000 0.0000 0.2873
Ir 0.5000 0.5000 0.5000
Hg 0.5000 0.5000 0.0000

=====

Entry 6:
A PBEsol-optimized structure of Ta2ZnH2. Source: Alexandria, functional SCAN.

Calculated values
total magnetic moment	0.000	μB/atom
calculated total energy	-153.9	eV/cell
calculated volume	55	Å³/f.u.
DOS at the Fermi energy	1.2	states/eV/cell
space group	I4/mmm

a b c (Å): 3.5401 3.5401 5.0337
angles (deg): 110.59 110.59 90.00
Element x y z (fractional)
H 0.7500 0.2500 0.5000
H 0.2500 0.7500 0.5000
Ta 0.3375 0.3375 0.6750
Ta 0.6625 0.6625 0.3250
Zn 0.0000 0.0000 0.0000

=====

Entry 7:
A PBEsol-optimized structure of SrLaCd2. Source: Alexandria, functional SCAN.

Calculated values
total magnetic moment	0.065	μB/atom
calculated total energy	-127.9	eV/cell
calculated volume	120	Å³/f.u.
DOS at the Fermi energy	3.1	states/eV/cell
space group	P4/mmm

a b c (Å): 3.9104 3.9104 7.8408
angles (deg): 90.00 90.00 90.00
Each line ends with the local moment (μB).
Element x y z (fractional)
Cd 0.0000 0.0000 0.2353  0.01
Cd 0.0000 0.0000 0.7647  0.01
La 0.5000 0.5000 0.0000  0.11
Sr 0.5000 0.5000 0.5000  0.00

=====

Entry 8:
A PBEsol-optimized structure of KRe2Pb. Source: Alexandria, functional SCAN.

Calculated values
total magnetic moment	0.000	μB/atom
calculated total energy	-219.8	eV/cell
calculated volume	97	Å³/f.u.
DOS at the Fermi energy	2.7	states/eV/cell
space group	P4/mmm

a b c (Å): 3.6567 3.6567 7.2894
angles (deg): 90.00 90.00 90.00
Element x y z (fractional)
K 0.5000 0.5000 0.0000
Pb 0.5000 0.5000 0.5000
Re 0.0000 0.0000 0.6578
Re 0.0000 0.0000 0.3422

=====

Entry 9:
A PBEsol-optimized structure of TaCr2Ag. Source: Alexandria, functional SCAN.

Calculated values
offset from the most stable computed form	56	meV/atom
total magnetic moment	0.006	μB/atom
calculated volume	59	Å³/f.u.
DOS at the Fermi energy	2.1	states/eV/cell
space group	F-43m

a b c (Å): 4.3598 4.3598 4.3598
angles (deg): 60.00 60.00 60.00
Each line ends with the local moment (μB).
Element x y z (fractional)
Cr 0.0000 0.0000 0.0000  -2.81
Cr 0.7500 0.7500 0.7500  3.25
Ta 0.2500 0.2500 0.2500  -0.34
Ag 0.5000 0.5000 0.5000  -0.04

=====

Entry 10:
A PBEsol-optimized structure of SrCo2Te. Source: Alexandria, functional SCAN.

Calculated values
E_form (uncorrected)	0.222	eV per atom
total magnetic moment	0.838	μB/atom
calculated volume	78	Å³/f.u.
DOS at the Fermi energy	3.1	states/eV/cell
space group	P4mm

a b c (Å): 3.3072 3.3072 7.1360
angles (deg): 90.00 90.00 90.00
Each line ends with the local moment (μB).
Element x y z (fractional)
Te 0.5000 0.5000 0.8216  0.06
Co 0.5000 0.5000 0.1692  1.66
Co 0.0000 0.0000 0.0414  1.89
Sr 0.0000 0.0000 0.4678  -0.06

=====

Entry 11:
A PBEsol-optimized structure of Ta2HBr2. Source: Alexandria, functional SCAN.

Calculated values
total magnetic moment	0.013	μB/atom
calculated total energy	-172.7	eV/cell
calculated volume	103	Å³/f.u.
DOS at the Fermi energy	1.1	states/eV/cell
space group	I4/mmm

a b c (Å): 3.8044 3.8044 7.6383
angles (deg): 104.42 104.42 90.00
Each line ends with the local moment (μB).
Element x y z (fractional)
Br 0.6171 0.6171 0.2342  0.00
Br 0.3829 0.3829 0.7658  0.00
Ta 0.7500 0.2500 0.5000  -0.03
Ta 0.2500 0.7500 0.5000  -0.03
H 0.0000 0.0000 0.0000  0.06

=====

Entry 12:
A PBEsol-optimized structure of LiCuAg2. Source: Alexandria, functional SCAN.

Calculated values
total magnetic moment	0.000	μB/atom
calculated total energy	-80.5	eV/cell
calculated volume	58	Å³/f.u.
DOS at the Fermi energy	1.1	states/eV/cell
space group	I-4m2

a b c (Å): 3.7833 3.7833 4.8399
angles (deg): 113.01 113.01 90.00
Element x y z (fractional)
Li 0.2500 0.7500 0.5000
Cu 0.5000 0.5000 0.0000
Ag 0.7500 0.2500 0.5000
Ag 0.0000 0.0000 0.0000